(1)
An optimized crystal structure of LaCePt3, computed with PBE.

Output
Fermi-level density of states   9.50 states/eV per cell
Crystal system   orthorhombic
Space group   Cmcm
Final energy   -6.90 eV/atom
Calculated formation energy   -1.1017 eV per atom

CIF file:
```
data_LaCePt3
_chemical_formula_sum 'La2 Ce2 Pt6'
_symmetry_space_group_name_H-M 'P 1'
_symmetry_Int_Tables_number 1
_cell_length_a 14.1461
_cell_length_b 14.1461
_cell_length_c 4.2464
_cell_angle_alpha 90.00
_cell_angle_beta 90.00
_cell_angle_gamma 164.09
loop_
_symmetry_equiv_pos_as_xyz
'x,y,z'
loop_
_atom_site_label
_atom_site_type_symbol
_atom_site_fract_x
_atom_site_fract_y
_atom_site_fract_z
La1 La 0.0720 0.9280 0.7500
La2 La 0.9280 0.0720 0.2500
Ce1 Ce 0.2025 0.7975 0.2500
Ce2 Ce 0.7975 0.2025 0.7500
Pt1 Pt 0.3087 0.6913 0.2500
Pt2 Pt 0.3761 0.6239 0.7500
Pt3 Pt 0.4709 0.5291 0.7500
Pt4 Pt 0.5291 0.4709 0.2500
Pt5 Pt 0.6239 0.3761 0.2500
Pt6 Pt 0.6913 0.3087 0.7500
```

(2)
An optimized crystal structure of Ba5NaCd3, computed with PBE.

Output
Fermi-level density of states   25.79 states/eV per cell
Crystal system   hexagonal
Space group   P6_3/mcm
Final energy   -1.67 eV/atom
Calculated formation energy   -0.1471 eV per atom

CIF file:
```
data_Ba5NaCd3
_chemical_formula_sum 'Ba10 Na2 Cd6'
_symmetry_space_group_name_H-M 'P 1'
_symmetry_Int_Tables_number 1
_cell_length_a 10.8012
_cell_length_b 10.8012
_cell_length_c 7.7899
_cell_angle_alpha 90.00
_cell_angle_beta 90.00
_cell_angle_gamma 120.00
loop_
_symmetry_equiv_pos_as_xyz
'x,y,z'
loop_
_atom_site_label
_atom_site_type_symbol
_atom_site_fract_x
_atom_site_fract_y
_atom_site_fract_z
Ba1 Ba 0.0000 0.3064 0.2500
Ba2 Ba 0.0000 0.6936 0.7500
Ba3 Ba 0.3064 0.0000 0.2500
Ba4 Ba 0.3064 0.3064 0.7500
Ba5 Ba 0.3333 0.6667 0.0000
Ba6 Ba 0.3333 0.6667 0.5000
Ba7 Ba 0.6667 0.3333 0.0000
Ba8 Ba 0.6667 0.3333 0.5000
Ba9 Ba 0.6936 0.0000 0.7500
Ba10 Ba 0.6936 0.6936 0.2500
Na1 Na 0.0000 0.0000 0.0000
Na2 Na 0.0000 0.0000 0.5000
Cd1 Cd 0.0000 0.3659 0.7500
Cd2 Cd 0.0000 0.6341 0.2500
Cd3 Cd 0.3659 0.0000 0.7500
Cd4 Cd 0.3659 0.3659 0.2500
Cd5 Cd 0.6341 0.0000 0.2500
Cd6 Cd 0.6341 0.6341 0.7500
```

(3)
An optimized crystal structure of Cs8Rb6Cd, computed with PBE.

Output
Fermi-level density of states   15.55 states/eV per cell
Crystal system   trigonal
Space group   R-3
Final energy   -0.90 eV/atom
Calculated formation energy   0.0077 eV per atom

CIF file:
```
data_Cs8Rb6Cd
_chemical_formula_sum 'Cs8 Rb6 Cd1'
_symmetry_space_group_name_H-M 'P 1'
_symmetry_Int_Tables_number 1
_cell_length_a 11.8423
_cell_length_b 11.8423
_cell_length_c 11.8423
_cell_angle_alpha 72.94
_cell_angle_beta 72.94
_cell_angle_gamma 72.94
loop_
_symmetry_equiv_pos_as_xyz
'x,y,z'
loop_
_atom_site_label
_atom_site_type_symbol
_atom_site_fract_x
_atom_site_fract_y
_atom_site_fract_z
Cs1 Cs 0.1695 0.6216 0.4556
Cs2 Cs 0.2481 0.2481 0.2481
Cs3 Cs 0.3784 0.5444 0.8305
Cs4 Cs 0.4556 0.1695 0.6216
Cs5 Cs 0.5444 0.8305 0.3784
Cs6 Cs 0.6216 0.4556 0.1695
Cs7 Cs 0.7519 0.7519 0.7519
Cs8 Cs 0.8305 0.3784 0.5444
Rb1 Rb 0.0393 0.3136 0.8951
Rb2 Rb 0.1049 0.9607 0.6864
Rb3 Rb 0.3136 0.8951 0.0393
Rb4 Rb 0.6864 0.1049 0.9607
Rb5 Rb 0.8951 0.0393 0.3136
Rb6 Rb 0.9607 0.6864 0.1049
Cd1 Cd 0.5000 0.5000 0.5000
```

(4)
An optimized crystal structure of Tb4GaAu2, computed with PBE.

Output
Fermi-level density of states   5.39 states/eV per cell
Crystal system   trigonal
Space group   R-3m
Final energy   -4.60 eV/atom
Calculated formation energy   -0.5860 eV per atom

CIF file:
```
data_Tb4GaAu2
_chemical_formula_sum 'Tb4 Ga1 Au2'
_symmetry_space_group_name_H-M 'P 1'
_symmetry_Int_Tables_number 1
_cell_length_a 8.6850
_cell_length_b 8.6850
_cell_length_c 8.6850
_cell_angle_alpha 33.97
_cell_angle_beta 33.97
_cell_angle_gamma 33.97
loop_
_symmetry_equiv_pos_as_xyz
'x,y,z'
loop_
_atom_site_label
_atom_site_type_symbol
_atom_site_fract_x
_atom_site_fract_y
_atom_site_fract_z
Tb1 Tb 0.1221 0.1221 0.1221
Tb2 Tb 0.3740 0.3740 0.3740
Tb3 Tb 0.6260 0.6260 0.6260
Tb4 Tb 0.8779 0.8779 0.8779
Ga1 Ga 0.5000 0.5000 0.5000
Au1 Au 0.2500 0.2500 0.2500
Au2 Au 0.7500 0.7500 0.7500
```

(5)
An optimized crystal structure of Bi2TeSe, computed with PBE.

Output
Fermi-level density of states   1.79 states/eV per cell
Crystal system   trigonal
Space group   R3m
Final energy   -3.69 eV/atom

CIF file:
```
data_Bi2TeSe
_chemical_formula_sum 'Bi2 Te1 Se1'
_symmetry_space_group_name_H-M 'P 1'
_symmetry_Int_Tables_number 1
_cell_length_a 8.8494
_cell_length_b 8.8494
_cell_length_c 8.8494
_cell_angle_alpha 26.58
_cell_angle_beta 26.58
_cell_angle_gamma 26.58
loop_
_symmetry_equiv_pos_as_xyz
'x,y,z'
loop_
_atom_site_label
_atom_site_type_symbol
_atom_site_fract_x
_atom_site_fract_y
_atom_site_fract_z
Bi1 Bi 0.0000 0.0000 0.0000
Bi2 Bi 0.1763 0.1763 0.1763
Te1 Te 0.4192 0.4192 0.4192
Se1 Se 0.5912 0.5912 0.5912
```

(6)
An optimized crystal structure of ZrCdFe2P, computed with PBE.

Output
Fermi-level density of states   5.58 states/eV per cell
Crystal system   tetragonal
Space group   P4/mmm
Final energy   -5.97 eV/atom
Calculated formation energy   0.3873 eV per atom

CIF file:
```
data_ZrCdFe2P
_chemical_formula_sum 'Zr1 Cd1 Fe2 P1'
_symmetry_space_group_name_H-M 'P 1'
_symmetry_Int_Tables_number 1
_cell_length_a 4.1842
_cell_length_b 4.1842
_cell_length_c 4.8040
_cell_angle_alpha 90.00
_cell_angle_beta 90.00
_cell_angle_gamma 90.00
loop_
_symmetry_equiv_pos_as_xyz
'x,y,z'
loop_
_atom_site_label
_atom_site_type_symbol
_atom_site_fract_x
_atom_site_fract_y
_atom_site_fract_z
Zr1 Zr 0.0000 0.0000 0.0000
Cd1 Cd 0.5000 0.5000 0.0000
Fe1 Fe 0.0000 0.5000 0.5000
Fe2 Fe 0.5000 0.0000 0.5000
P1 P 0.5000 0.5000 0.5000
```

(7)
An optimized crystal structure of SmSnPd, computed with PBE.

Output
Fermi-level density of states   3.22 states/eV per cell
Crystal system   monoclinic
Space group   P2_1/m
Final energy   -5.42 eV/atom
Calculated formation energy   -0.7801 eV per atom

CIF file:
```
data_SmSnPd
_chemical_formula_sum 'Sm2 Sn2 Pd2'
_symmetry_space_group_name_H-M 'P 1'
_symmetry_Int_Tables_number 1
_cell_length_a 4.6293
_cell_length_b 4.8137
_cell_length_c 6.5802
_cell_angle_alpha 90.00
_cell_angle_beta 109.19
_cell_angle_gamma 90.00
loop_
_symmetry_equiv_pos_as_xyz
'x,y,z'
loop_
_atom_site_label
_atom_site_type_symbol
_atom_site_fract_x
_atom_site_fract_y
_atom_site_fract_z
Sm1 Sm 0.1052 0.2500 0.2028
Sm2 Sm 0.8948 0.7500 0.7972
Sn1 Sn 0.3711 0.2500 0.7706
Sn2 Sn 0.6289 0.7500 0.2294
Pd1 Pd 0.2642 0.7500 0.4904
Pd2 Pd 0.7358 0.2500 0.5096
```

(8)
An optimized crystal structure of TiTl5S5, computed with PBE.

Output
Fermi-level density of states   5.59 states/eV per cell
Crystal system   monoclinic
Space group   C2/m
Final energy   -4.15 eV/atom

CIF file:
```
data_TiTl5S5
_chemical_formula_sum 'Ti1 Tl5 S5'
_symmetry_space_group_name_H-M 'P 1'
_symmetry_Int_Tables_number 1
_cell_length_a 8.2406
_cell_length_b 8.2406
_cell_length_c 9.2787
_cell_angle_alpha 119.59
_cell_angle_beta 119.59
_cell_angle_gamma 33.75
loop_
_symmetry_equiv_pos_as_xyz
'x,y,z'
loop_
_atom_site_label
_atom_site_type_symbol
_atom_site_fract_x
_atom_site_fract_y
_atom_site_fract_z
Ti1 Ti 0.0000 0.0000 0.0000
Tl1 Tl 0.0000 0.0000 0.5000
Tl2 Tl 0.2917 0.2917 0.7043
Tl3 Tl 0.3709 0.3709 0.1970
Tl4 Tl 0.6291 0.6291 0.8030
Tl5 Tl 0.7083 0.7083 0.2957
S1 S 0.1032 0.1032 0.3126
S2 S 0.1522 0.1522 0.9881
S3 S 0.5000 0.5000 0.0000
S4 S 0.8478 0.8478 0.0119
S5 S 0.8968 0.8968 0.6874
```

(9)
An optimized crystal structure of CaRe2TeMo, computed with PBE.

Output
Fermi-level density of states   8.88 states/eV per cell
Crystal system   tetragonal
Space group   P4/mmm
Final energy   -5.10 eV/atom

CIF file:
```
data_CaRe2TeMo
_chemical_formula_sum 'Ca1 Re2 Te1 Mo1'
_symmetry_space_group_name_H-M 'P 1'
_symmetry_Int_Tables_number 1
_cell_length_a 4.6145
_cell_length_b 4.6145
_cell_length_c 5.1275
_cell_angle_alpha 90.00
_cell_angle_beta 90.00
_cell_angle_gamma 90.00
loop_
_symmetry_equiv_pos_as_xyz
'x,y,z'
loop_
_atom_site_label
_atom_site_type_symbol
_atom_site_fract_x
_atom_site_fract_y
_atom_site_fract_z
Ca1 Ca 0.0000 0.0000 0.0000
Re1 Re 0.0000 0.5000 0.0000
Re2 Re 0.5000 0.0000 0.0000
Te1 Te 0.0000 0.0000 0.5000
Mo1 Mo 0.5000 0.5000 0.5000
```

(10)
An optimized crystal structure of TbTl2GeTe4, computed with PBE.

Output
Fermi-level density of states   5.63 states/eV per cell
Crystal system   monoclinic
Space group   P2/m
Final energy   -3.88 eV/atom

CIF file:
```
data_TbTl2GeTe4
_chemical_formula_sum 'Tb1 Tl2 Ge1 Te4'
_symmetry_space_group_name_H-M 'P 1'
_symmetry_Int_Tables_number 1
_cell_length_a 7.7868
_cell_length_b 4.3986
_cell_length_c 8.1791
_cell_angle_alpha 90.00
_cell_angle_beta 108.66
_cell_angle_gamma 90.00
loop_
_symmetry_equiv_pos_as_xyz
'x,y,z'
loop_
_atom_site_label
_atom_site_type_symbol
_atom_site_fract_x
_atom_site_fract_y
_atom_site_fract_z
Tb1 Tb 0.0000 0.0000 0.0000
Tl1 Tl 0.0000 0.5000 0.5000
Tl2 Tl 0.5000 0.0000 0.5000
Ge1 Ge 0.5000 0.5000 0.0000
Te1 Te 0.2466 0.5000 0.2144
Te2 Te 0.2652 0.0000 0.7870
Te3 Te 0.7348 0.0000 0.2130
Te4 Te 0.7534 0.5000 0.7856
```